4
Lattice="-0.2593 -2.0280 -2.0874 -0.9955 -1.8447 1.9159 -8.0497 2.6422 -1.5670" Properties=species:S:1:pos:R:3 comment="TcAg2Cl (GGA-PBE, relaxed)" magmom_total_mub_per_atom=0.000 total_energy_ev_per_atom=-4.044 polymorph_energy_mev_per_atom=197 sg="No. 10" e_form_raw_kj_per_mol_fu=168 volume_a3_per_atom=17.872 pbc="T T T"
Ag -8.1942 2.1539 -1.0747
Ag -4.3782 0.8870 -0.3179
Cl -2.3910 -0.8146 -0.9565
Tc -6.9136 -0.4159 -0.7821